A relaxed structure of TmCdMoO6. Source: the Alexandria database, functional PBE+U.

a = 5.535 Å, b = 5.535 Å, c = 4.677 Å
α = 90.00°, β = 90.00°, γ = 120.00°
Sites, in units of the cell vectors:
Tm1 0.000 0.000 0.000
Cd1 0.667 0.333 0.500
Mo1 0.333 0.667 0.000
O1 0.041 0.370 0.228
O2 0.041 0.671 0.772
O3 0.329 0.370 0.772
O4 0.329 0.959 0.228
O5 0.630 0.671 0.228
O6 0.630 0.959 0.772

* space-group type: No. 149
* density of states at the Fermi level: 0.566 states/eV/atom
* total DFT energy (no corrections): -6.50 eV/atom
* ρ: 6.33 Mg/m³